## Pr2ZnGa6Pd (PBE)

Data for a geometry-optimized Pr2ZnGa6Pd structure.

```
data_Pr2ZnGa6Pd
_chemical_formula_sum 'Pr12 Zn6 Ga36 Pd6'
_space_group_name_H-M_alt 'R -3 m'
_space_group_IT_number 166
_space_group_name_Hall '-R 3 2"'
_cell_length_a 6.4043
_cell_length_b 6.4043
_cell_length_c 35.2733
_cell_angle_alpha 90.00
_cell_angle_beta 90.00
_cell_angle_gamma 120.00
loop_
_atom_site_label
_atom_site_fract_x
_atom_site_fract_y
_atom_site_fract_z
Pr1 0.0000 0.0000 0.1077
Pr2 0.0000 0.0000 0.2830
Zn1 0.0000 0.0000 0.4273
Ga1 0.0555 0.5277 0.2987
Ga2 0.0705 0.5352 0.8655
Pd1 0.0000 0.0000 0.0000
Pd2 0.0000 0.0000 0.5000
```

Summary:
Energy, eV for the cell shown: -231.73
Fermi-level density of states, states/eV/atom: 0.282

## PrZrGa2Pd5 (PBE)

Data for a geometry-optimized PrZrGa2Pd5 structure.

```
data_PrZrGa2Pd5
_chemical_formula_sum 'Pr1 Zr1 Ga2 Pd5'
_space_group_name_H-M_alt 'P 4/m m m'
_space_group_IT_number 123
_space_group_name_Hall '-P 4 2'
_cell_length_a 4.1689
_cell_length_b 4.1689
_cell_length_c 9.3772
_cell_angle_alpha 90.00
_cell_angle_beta 90.00
_cell_angle_gamma 90.00
loop_
_atom_site_label
_atom_site_fract_x
_atom_site_fract_y
_atom_site_fract_z
Pr1 0.0000 0.0000 0.0000
Zr1 0.0000 0.0000 0.5000
Ga1 0.5000 0.5000 0.3735
Pd1 0.0000 0.5000 0.2319
Pd2 0.5000 0.5000 0.0000
```

Summary:
Energy, eV for the cell shown: -50.86
Fermi-level density of states, states/eV/atom: 0.730

## Ga6Pd2Pt (PBE)

Data for a geometry-optimized Ga6Pd2Pt structure.

```
data_Ga6Pd2Pt
_chemical_formula_sum 'Ga12 Pd4 Pt2'
_space_group_name_H-M_alt 'P 1 21/c 1'
_space_group_IT_number 14
_cell_length_a 5.6976
_cell_length_b 6.7689
_cell_length_c 9.4984
_cell_angle_alpha 90.00
_cell_angle_beta 122.17
_cell_angle_gamma 90.00
loop_
_space_group_symop_operation_xyz
'x,y,z'
'-x,-y,-z'
'-x,y+1/2,-z+1/2'
'x,-y+1/2,z+1/2'
loop_
_atom_site_label
_atom_site_fract_x
_atom_site_fract_y
_atom_site_fract_z
Ga1 0.0800 0.1517 0.4369
Ga2 0.3257 0.6864 0.4378
Ga3 0.4140 0.5023 0.7962
Pd1 0.2128 0.1406 0.7550
Pt1 0.0000 0.0000 0.0000
```

Summary:
Energy, eV for the cell shown: -76.14
Fermi-level density of states, states/eV/atom: 0.357

## Ga4Pd2Pt5 (PBE)

Data for a geometry-optimized Ga4Pd2Pt5 structure.

```
data_Ga4Pd2Pt5
_chemical_formula_sum 'Ga16 Pd8 Pt20'
_space_group_name_H-M_alt 'F m m m'
_space_group_IT_number 69
_space_group_name_Hall '-F 2 2'
_cell_length_a 5.5762
_cell_length_b 9.7435
_cell_length_c 15.8052
_cell_angle_alpha 90.00
_cell_angle_beta 90.00
_cell_angle_gamma 90.00
loop_
_atom_site_label
_atom_site_fract_x
_atom_site_fract_y
_atom_site_fract_z
Ga1 0.0000 0.1634 0.1261
Pd1 0.0000 0.0000 0.2497
Pt1 0.0000 0.0000 0.0000
Pt2 0.2500 0.2500 0.0000
Pt3 0.2500 0.2500 0.2500
```

Summary:
Energy, eV for the cell shown: -226.38
Fermi-level density of states, states/eV/atom: 0.416

## GaPd9Pt4 (PBE)

Data for a geometry-optimized GaPd9Pt4 structure.

```
data_GaPd9Pt4
_chemical_formula_sum 'Ga2 Pd18 Pt8'
_space_group_name_H-M_alt 'P 63/m m c'
_space_group_IT_number 194
_space_group_name_Hall '-P 6c 2c'
_cell_length_a 7.8331
_cell_length_b 7.8331
_cell_length_c 8.4955
_cell_angle_alpha 90.00
_cell_angle_beta 90.00
_cell_angle_gamma 120.00
loop_
_atom_site_label
_atom_site_fract_x
_atom_site_fract_y
_atom_site_fract_z
Ga1 0.3333 0.6667 0.2500
Pd1 0.0630 0.5315 0.7500
Pd2 0.2094 0.4188 0.0334
Pt1 0.0000 0.0000 0.0000
Pt2 0.1149 0.2298 0.7500
```

Summary:
Energy, eV for the cell shown: -149.43
Fermi-level density of states, states/eV/atom: 1.339

## GaPd4Pt (PBE)

Data for a geometry-optimized GaPd4Pt structure.

```
data_GaPd4Pt
_chemical_formula_sum 'Ga8 Pd32 Pt8'
_space_group_name_H-M_alt 'F d d d'
_space_group_IT_number 70
_cell_length_a 5.4337
_cell_length_b 9.1923
_cell_length_c 15.0972
_cell_angle_alpha 90.00
_cell_angle_beta 90.00
_cell_angle_gamma 90.00
loop_
_space_group_symop_operation_xyz
'x,y,z'
'-x,-y,-z'
'-x+1/4,-y+1/4,z'
'x+1/4,y+1/4,-z'
'x,-y+1/4,-z+1/4'
'-x,y+1/4,z+1/4'
'-x+1/4,y,-z+1/4'
'x+1/4,-y,z+1/4'
'x,y+1/2,z+1/2'
'-x,-y+1/2,-z+1/2'
'-x+1/4,-y+3/4,z+1/2'
'x+1/4,y+3/4,-z+1/2'
'x,-y+3/4,-z+3/4'
'-x,y+3/4,z+3/4'
'-x+1/4,y+1/2,-z+3/4'
'x+1/4,-y+1/2,z+3/4'
'x+1/2,y,z+1/2'
'-x+1/2,-y,-z+1/2'
'-x+3/4,-y+1/4,z+1/2'
'x+3/4,y+1/4,-z+1/2'
'x+1/2,-y+1/4,-z+3/4'
'-x+1/2,y+1/4,z+3/4'
'-x+3/4,y,-z+3/4'
'x+3/4,-y,z+3/4'
'x+1/2,y+1/2,z'
'-x+1/2,-y+1/2,-z'
'-x+3/4,-y+3/4,z'
'x+3/4,y+3/4,-z'
'x+1/2,-y+3/4,-z+1/4'
'-x+1/2,y+3/4,z+1/4'
'-x+3/4,y+1/2,-z+1/4'
'x+3/4,-y+1/2,z+1/4'
loop_
_atom_site_label
_atom_site_fract_x
_atom_site_fract_y
_atom_site_fract_z
Ga1 0.1250 0.1250 0.1250
Pd1 0.1220 0.3697 0.0338
Pt1 0.1250 0.1250 0.6250
```

Summary:
Energy, eV for the cell shown: -250.12
Fermi-level density of states, states/eV/atom: 1.116
Energy above the most stable polymorph in this dataset, meV per atom: 65.6

- What is the Fermi-level density of states in the first record?
  0.282 states/eV/atom